A relaxed Na2InRu2 crystal. Source: Alexandria, functional GGA-PBE.

Cell and atoms, written as CIF:
```
data_Na2InRu2
_chemical_formula_sum 'Na4 In2 Ru4'
_space_group_name_H-M_alt 'P 4/m b m'
_space_group_IT_number 127
_space_group_name_Hall '-P 4 2ab'
_cell_length_a 6.663
_cell_length_b 6.663
_cell_length_c 4.955
_cell_angle_alpha 90.00
_cell_angle_beta 90.00
_cell_angle_gamma 90.00
loop_
_atom_site_label
_atom_site_fract_x
_atom_site_fract_y
_atom_site_fract_z
Na1 0.173 0.327 0.000
In1 0.000 0.000 0.500
Ru1 0.120 0.620 0.500
```

Computed properties:
Volume in Å³ per cell: 220
VASP energy in eV per cell: -42.6
Energy of formation in meV per atom: 522